Record 1
Entry from the Alexandria database: a geometry-optimized Ac3TmPb4 structure (PBE-GGA).

## Properties
Formation enthalpy at 0 K   -0.4391 eV per atom
Total magnetic moment   0.000 μB per atom
VASP energy   -35.14 eV per cell
Energy above the most stable polymorph in this dataset   0.00 eV/f.u.
DOS at the Fermi energy   6.4 states/eV/f.u.
SG   P4/mmm, No. 123

Unit cell a=4.0850 b=4.0850 c=16.2387 alpha=90.00 beta=90.00 gamma=90.00
With the nearest neighbours (Å) after each atom.
Atoms (fractional coordinates):
Ac 0.0000 0.0000 0.0000  8 Pb 3.63
Ac 0.0000 0.0000 0.2671  8 Pb 3.59-3.61, 1 Tm 3.78
Ac 0.0000 0.0000 0.7329  8 Pb 3.59-3.61, 1 Tm 3.78
Tm 0.0000 0.0000 0.5000  8 Pb 3.31
Pb 0.5000 0.5000 0.1356  8 Ac 3.59-3.63
Pb 0.5000 0.5000 0.4009  1 Pb 3.22, 4 Tm 3.31
Pb 0.5000 0.5000 0.5991  1 Pb 3.22, 4 Tm 3.31
Pb 0.5000 0.5000 0.8644  8 Ac 3.59-3.63

---

Record 2
Entry from the Alexandria database: a geometry-optimized Li3Cd4In4 structure (PBE-GGA).

## Properties
Formation enthalpy at 0 K   -0.1425 eV per atom
Total magnetic moment   0.000 μB per atom
VASP energy   -21.92 eV per cell
Energy above the most stable polymorph in this dataset   0.00 eV/f.u.
DOS at the Fermi energy   3.0 states/eV/f.u.
SG   P1, No. 1

Unit cell a=3.3400 b=5.0480 c=14.7895 alpha=80.25 beta=85.20 gamma=89.97
With the nearest neighbours (Å) after each atom.
Atoms (fractional coordinates):
Li 0.0000 0.0000 0.0000  4 Cd 2.95-3.10, 6 In 3.03-3.17
Li 0.3051 0.2871 0.4207  4 Cd 2.99-3.01, 5 In 3.11-3.18, 2 Li 3.34
Li 0.6530 0.6488 0.6999  4 Cd 2.92-3.09, 6 In 3.07-3.18
Cd 0.0665 0.5619 0.8759  4 Li 3.02-3.10, 6 In 3.06-3.17, 2 Cd 3.34
Cd 0.2303 0.7321 0.5328  4 Li 2.92-3.01, 4 In 2.92-3.06
Cd 0.4173 0.9136 0.1708  2 Li 2.95-3.03, 4 In 3.01-3.27, 4 Cd 3.21-3.26
Cd 0.8757 0.3739 0.2490  2 Li 2.99-3.01, 4 In 2.99-3.29, 6 Cd 3.21-3.34
In 0.1810 0.1814 0.6345  2 Cd 2.92-2.93, 5 Li 3.11-3.18, 2 In 3.16-3.18
In 0.4697 0.4715 0.0569  6 Cd 3.01-3.29, 4 Li 3.12-3.16, 2 In 3.34
In 0.6053 0.0898 0.8200  4 Li 3.03-3.17, 4 Cd 3.10-3.17, 4 In 3.16-3.34
In 0.8167 0.8186 0.3596  6 Cd 2.98-3.27, 4 Li 3.13-3.18

---

Record 3
Entry from the Alexandria database: a geometry-optimized CoTc2AuN structure (PBE-GGA).

## Properties
Total magnetic moment   0.003 μB per atom
Raw formation energy   136 meV/atom
VASP energy   -38.76 eV per cell
DOS at the Fermi energy   5.0 states/eV/f.u.
SG   P4/mmm, No. 123

Unit cell a=4.0549 b=4.0549 c=3.8923 alpha=90.00 beta=90.00 gamma=90.00
With the nearest neighbours (Å) after each atom.
Atoms (fractional coordinates):
Co 0.0000 0.0000 0.0000  2 N 1.95
Tc 0.0000 0.5000 0.5000  2 N 2.03
Tc 0.5000 0.0000 0.5000  2 N 2.03
Au 0.5000 0.5000 0.0000  8 Tc 2.81, 4 Co 2.87
N 0.0000 0.0000 0.5000  2 Co 1.95, 4 Tc 2.03

---

Record 4
Entry from the Alexandria database: a geometry-optimized Tb2Tm3Al3 structure (PBE-GGA).

## Properties
Formation enthalpy at 0 K   -0.2723 eV per atom
Total magnetic moment   0.000 μB per atom
VASP energy   -36.08 eV per cell
Energy above the most stable polymorph in this dataset   0.13 eV/f.u.
DOS at the Fermi energy   8.3 states/eV/f.u.
SG   Pmmm, No. 47

Unit cell a=4.7503 b=4.7535 c=8.7826 alpha=90.00 beta=90.00 gamma=90.00
With the nearest neighbours (Å) after each atom.
Atoms (fractional coordinates):
Tb 0.0000 0.0000 0.2314  6 Al 3.13-3.35, 6 Tm 3.35-3.36
Tb 0.0000 0.0000 0.7686  6 Al 3.13-3.35, 6 Tm 3.35-3.36
Tm 0.0000 0.5000 0.5000  4 Tb 3.35, 4 Al 3.36, 4 Tm 3.39
Tm 0.5000 0.5000 0.2247  6 Al 3.09-3.39, 4 Tb 3.36, 2 Tm 3.39
Tm 0.5000 0.5000 0.7753  6 Al 3.09-3.39, 4 Tb 3.36, 2 Tm 3.39
Al 0.0000 0.5000 0.0000  4 Tm 3.09, 4 Tb 3.13, 4 Al 3.36
Al 0.5000 0.0000 0.0000  4 Tm 3.09, 4 Tb 3.13, 4 Al 3.36
Al 0.5000 0.0000 0.5000  4 Tb 3.35, 8 Tm 3.36-3.39

---

Question: Among the records above, which one has the lowest DOS at the Fermi energy?
Answer: Li3Cd4In4

---

Question: Which of these has the lowest DOS at the Fermi energy?
Answer: Li3Cd4In4